No. 1
! CoRe2Pt PBE-GGA relaxed; values from VASP
&SYSTEM
  ibrav = 0, nat = 4, ntyp = 3
/
ATOMIC_SPECIES
Re 186.21 Re.upf
Co 58.93 Co.upf
Pt 195.08 Pt.upf
ATOMIC_POSITIONS crystal
Re 0.0000 0.0000 0.0000
Co 0.5000 0.5000 0.0000
Pt 0.5000 0.0000 0.5000
Re 0.0000 0.5000 0.5000
CELL_PARAMETERS angstrom
4.7688 0.0062 -0.0037
-2.9492 5.1486 -0.0059
0.0012 1.3904 2.2848
! Energy of formation   0.3 eV/f.u.
! Final energy   -37.8 eV/cell
! ΔE to the lowest computed polymorph   77.0 meV per atom
! Space-group type   Cmmm
! V   56.2 Å³ per cell
! Size of the total moment   0.627 μB/f.u.

---

No. 2
! CoRePt PBE-GGA relaxed; values from VASP
&SYSTEM
  ibrav = 0, nat = 12, ntyp = 3
/
ATOMIC_SPECIES
Pt 195.08 Pt.upf
Co 58.93 Co.upf
Re 186.21 Re.upf
ATOMIC_POSITIONS crystal
Pt 0.5022 0.5000 0.8016
Co 0.0168 0.0000 0.3077
Re 0.1566 0.0000 0.6243
Pt 0.5022 0.0000 0.3016
Co 0.8581 0.0000 0.9797
Co 0.8581 0.5000 0.4797
Re 0.3245 0.0000 0.9704
Re 0.1566 0.5000 0.1243
Re 0.3245 0.5000 0.4704
Pt 0.6858 0.0000 0.6361
Pt 0.6858 0.5000 0.1361
Co 0.0168 0.5000 0.8077
CELL_PARAMETERS angstrom
5.4216 0.0000 -0.0126
0.0000 3.7709 0.0000
-2.7512 0.0000 8.1138
! Energy of formation   -0.1 eV/f.u.
! Final energy   -102.6 eV/cell
! ΔE to the lowest computed polymorph   63.7 meV per atom
! Space-group type   Cm
! V   165.8 Å³ per cell
! Size of the total moment   0.817 μB/f.u.